1.
Ca2ZnCd6Pd (GGA-PBE, relaxed); formation energy from the elements = -0.20 eV per atom; raw total energy = -35.9 eV/cell
1.0
3.530 2.038 11.644
-3.530 2.038 11.644
0.000 -4.076 11.644
Ca Zn Cd Pd
4 2 12 2
Direct
0.113 0.113 0.113
0.286 0.286 0.286
0.714 0.714 0.714
0.887 0.887 0.887
0.428 0.428 0.428
0.572 0.572 0.572
0.070 0.661 0.661
0.224 0.224 0.666
0.224 0.666 0.224
0.334 0.776 0.776
0.339 0.339 0.930
0.339 0.930 0.339
0.661 0.070 0.661
0.661 0.661 0.070
0.666 0.224 0.224
0.776 0.334 0.776
0.776 0.776 0.334
0.930 0.339 0.339
0.000 0.000 0.000
0.500 0.500 0.500

2.
ZnAsH2 (GGA-PBE, relaxed); raw total energy = -24.1 eV/cell; energy above the most stable polymorph in this dataset = 0 meV/atom
1.0
4.324 0.000 0.000
0.258 5.259 0.000
1.993 1.565 5.808
Zn As H
2 2 4
Direct
0.074 0.386 0.350
0.926 0.614 0.650
0.348 0.766 0.797
0.652 0.234 0.203
0.224 0.751 0.059
0.353 0.069 0.726
0.647 0.931 0.274
0.776 0.249 0.941

Record order is preserved below.
V: 502.6, 132.1 Å³ per cell